BeF: relaxed, GGA-PBE.

Geometry as POSCAR:
```
BeF
1.0
1.2124 -2.5633 0.0000
1.2124 2.5633 0.0000
-1.2044 0.0000 4.8678
Be F
1 1
direct
0.0000 0.0000 0.0000
0.4002 0.4002 0.7993
```

symmetry	Cm, No. 8
E_form (uncorrected)	-1.4909	eV/atom
volume	15.1	Å³/atom
E above lowest polymorph	0.516	eV/atom